# 1
CaNd2TlN | GGA-PBE | optimized geometry

## Properties
Uncorrected energy   -26.2 eV per cell
Energy relative to the elements, uncorrected   -0.788 eV/atom

POSCAR file:
```
CaNd2TlN
1.0
5.056 0.000 0.000
0.000 5.056 0.000
0.000 0.000 4.902
Ca Nd Tl N
1 2 1 1
Cartesian
0.000 0.000 0.000
0.000 2.528 2.451
2.528 0.000 2.451
2.528 2.528 0.000
0.000 0.000 2.451
```



# 2
Ca3NdU2N6 | GGA-PBE | optimized geometry

## Properties
Uncorrected energy   -98.9 eV per cell
Energy relative to the elements, uncorrected   -1.300 eV/atom

POSCAR file:
```
Ca3NdU2N6
1.0
7.649 -1.771 0.000
7.649 1.771 0.000
-1.569 0.000 6.882
Ca Nd U N
3 1 2 6
Cartesian
0.000 0.000 0.000
4.034 0.000 4.586
9.694 0.000 2.296
-0.785 0.000 3.441
4.844 0.000 1.156
8.885 0.000 5.726
1.602 0.000 4.237
2.633 0.000 0.438
6.979 0.000 1.647
6.749 0.000 5.235
11.095 0.000 6.444
12.126 0.000 2.645
```



# 3
Ca3Nd2UN6 | GGA-PBE | optimized geometry

## Properties
Uncorrected energy   -92.6 eV per cell
Energy relative to the elements, uncorrected   -1.318 eV/atom

POSCAR file:
```
Ca3Nd2UN6
1.0
3.098 -5.370 0.000
3.098 5.370 0.000
-2.077 0.000 5.751
Ca Nd U N
3 2 1 6
Cartesian
0.000 0.000 0.000
3.098 1.741 0.000
3.098 -1.741 0.000
2.060 3.575 2.876
2.060 -3.575 2.876
2.060 0.000 2.876
1.137 1.607 1.588
0.214 0.000 4.124
1.137 -1.607 1.588
2.982 1.607 4.163
3.906 0.000 1.627
2.982 -1.607 4.163
```